Material: TaSbTe2Rh
Method: DFT, PBE
State: relaxed

abc: 5.1319 5.1319 5.0015
angles: 90.00 90.00 90.00
Closest atoms and distances in Å follow each position.
Space group P4/mmm (No. 123)
Inequivalent atoms, fractional coordinates:
Ta 0.0000 0.0000 0.0000 (multiplicity 1)  8 Te 3.58, 4 Sb 3.63
Sb 0.5000 0.5000 0.0000 (multiplicity 1)  2 Rh 2.50
Te 0.0000 0.5000 0.5000 (multiplicity 2)  2 Rh 2.57
Rh 0.5000 0.5000 0.5000 (multiplicity 1)  2 Sb 2.50, 4 Te 2.57

Calculated values
The crystal system is tetragonal. The calculation puts the excess energy over the best structure of this formula in the dataset at 0.18 eV per formula unit. For the density of states at the Fermi level, the calculation gives 6.68 states/eV/f.u. The value obtained for the size of the total moment is 0.002 Bohr magnetons per cell. The value obtained for the energy relative to the elements, uncorrected is 927 meV/atom.